# BaFe2Rh

Crystalline BaFe2Rh at its relaxed geometry (GGA-PBE, Alexandria via LeMat-Bulk).

Lattice parameters (Å, degrees): 4.807 4.807 9.195 74.85 74.85 90.00
Fractional coordinates of all 8 atoms:
Rh 0.500 0.500 0.000
Rh 0.250 0.750 0.500
Ba 0.000 0.000 0.000
Ba 0.750 0.250 0.500
Fe 0.375 0.125 0.250
Fe 0.375 0.625 0.250
Fe 0.375 0.625 0.750
Fe 0.875 0.625 0.750

Calculated values
Density = 5.921 Mg/m³

# BaFeRh2

Crystalline BaFeRh2 at its relaxed geometry (GGA-PBE, Alexandria via LeMat-Bulk).

Lattice parameters (Å, degrees): 5.041 5.041 8.802 73.36 73.36 90.00
Fractional coordinates of all 8 atoms:
Rh 0.319 0.125 0.250
Rh 0.431 0.625 0.250
Rh 0.375 0.681 0.750
Rh 0.875 0.569 0.750
Ba 0.000 0.000 0.000
Ba 0.750 0.250 0.500
Fe 0.500 0.500 0.000
Fe 0.250 0.750 0.500

Calculated values
Polymorph energy (0 for the lowest one) = 346 meV per atom
Density = 6.478 Mg/m³

Computed values of total magnetic moment (unit: μB per cell) for the preceding records, in sequence: 11.93; 6.77.
Computed values of VASP energy (unit: eV/atom) for the preceding records, in sequence: -6.035; -5.910.